1.
VASP calculation (SCAN) on a crystal of La5Mg relaxed with PBEsol.

Cell lengths 3.660, 3.660, 14.579 Å; angles 90.00, 90.00, 90.00 degrees
Positions (direct):
La1 0.000 0.000 0.000
La2 0.000 0.000 0.346
La3 0.000 0.000 0.654
La4 0.500 0.500 0.176
La5 0.500 0.500 0.824
Mg1 0.500 0.500 0.500

Values from the calculation:
- E above lowest polymorph (eV per formula unit) = 0.06
- energy of formation from the pure elements (eV/atom) = -0.0339
- symmetry = P4/mmm, No. 123
- calculated density (g cm⁻³) = 6.1



2.
VASP calculation (SCAN) on a crystal of CaFeBr2 relaxed with PBEsol.

Cell lengths 3.469, 3.469, 7.816 Å; angles 90.00, 90.00, 90.00 degrees
Positions (direct):
Ca1 0.000 0.000 0.000
Fe1 0.500 0.500 0.279
Br1 0.000 0.000 0.406
Br2 0.500 0.500 0.793

Values from the calculation:
- E above lowest polymorph (eV per formula unit) = 0.00
- E_form (uncorrected) (eV per atom) = -0.697
- symmetry = P4mm, No. 99
- calculated density (g cm⁻³) = 4.5



3.
VASP calculation (SCAN) on a crystal of BeGa2RhN relaxed with PBEsol.

Cell lengths 4.214, 4.214, 3.954 Å; angles 90.00, 90.00, 90.00 degrees
Positions (direct):
Be1 0.000 0.000 0.000
Ga1 0.000 0.500 0.000
Ga2 0.500 0.000 0.000
Rh1 0.000 0.000 0.500
N1 0.500 0.500 0.500

Values from the calculation:
- E_form (uncorrected) (eV per atom) = 1.102
- symmetry = P4/mmm, No. 123
- calculated density (g cm⁻³) = 6.3